# 1
The following is a DFT calculation (PBE) of crystalline Ac3GaAg2Pd6 at its relaxed geometry.

Properties
**DFT formation energy**: -0.65 eV/atom

Structure (CIF):
```
data_Ac3GaAg2Pd6
_space_group_name_H-M_alt 'P -3 m 1'
_space_group_IT_number 164
_space_group_name_Hall '-P 3 2"'
_cell_length_a 5.9069
_cell_length_b 5.9069
_cell_length_c 8.9184
_cell_angle_alpha 90.00
_cell_angle_beta 90.00
_cell_angle_gamma 120.00
loop_
_atom_site_label
_atom_site_fract_x
_atom_site_fract_y
_atom_site_fract_z
Ac1 0.0000 0.0000 0.0000
Ac2 0.3333 0.6667 0.6284
Ga1 0.0000 0.0000 0.5000
Ag1 0.3333 0.6667 0.0257
Pd1 0.1730 0.3460 0.2888
```


# 2
The following is a DFT calculation (PBE) of crystalline YCu4As2 at its relaxed geometry.

Properties
**DFT formation energy**: -0.43 eV/atom

Structure (CIF):
```
data_YCu4As2
_space_group_name_H-M_alt 'P 42/m n m'
_space_group_IT_number 136
_space_group_name_Hall '-P 4n 2n'
_cell_length_a 7.452
_cell_length_b 7.452
_cell_length_c 3.944
_cell_angle_alpha 90.00
_cell_angle_beta 90.00
_cell_angle_gamma 90.00
loop_
_atom_site_label
_atom_site_fract_x
_atom_site_fract_y
_atom_site_fract_z
Y1 0.000 0.000 0.000
Cu1 0.087 0.344 0.500
As1 0.212 0.788 0.500
```


# 3
The following is a DFT calculation (PBE) of crystalline TaTlPb4 at its relaxed geometry.

Properties
**DFT formation energy**: 0.80 eV/atom

Structure (CIF):
```
data_TaTlPb4
_space_group_name_H-M_alt 'F -4 3 m'
_space_group_IT_number 216
_space_group_name_Hall 'F -4 2 3'
_cell_length_a 8.998
_cell_length_b 8.998
_cell_length_c 8.998
_cell_angle_alpha 90.00
_cell_angle_beta 90.00
_cell_angle_gamma 90.00
loop_
_atom_site_label
_atom_site_fract_x
_atom_site_fract_y
_atom_site_fract_z
Ta1 0.000 0.000 0.000
Tl1 0.250 0.250 0.750
Pb1 0.126 0.126 0.374
```


# 4
The following is a DFT calculation (PBE) of crystalline TbLuPuPb at its relaxed geometry.

Properties
**DFT formation energy**: 0.04 eV/atom

Structure (CIF):
```
data_TbLuPuPb
_space_group_name_H-M_alt 'F -4 3 m'
_space_group_IT_number 216
_space_group_name_Hall 'F -4 2 3'
_cell_length_a 7.687
_cell_length_b 7.687
_cell_length_c 7.687
_cell_angle_alpha 90.00
_cell_angle_beta 90.00
_cell_angle_gamma 90.00
loop_
_atom_site_label
_atom_site_fract_x
_atom_site_fract_y
_atom_site_fract_z
Tb1 0.000 0.000 0.000
Lu1 0.250 0.250 0.750
Pu1 0.250 0.250 0.250
Pb1 0.000 0.000 0.500
```


- The highest DFT formation energy belongs to which entry?
  TaTlPb4